Record 1
The following is a PBE calculation of a relaxed Ta2ZnFe crystal, from Alexandria.

a = 2.860 Å, b = 3.817 Å, c = 5.634 Å
α = 90.00°, β = 96.64°, γ = 90.00°
Space group P2/m (No. 10)
Inequivalent atoms, fractional coordinates:
Ta1 0.046 0.000 0.265 (multiplicity 2)
Zn1 0.500 0.500 0.000 (multiplicity 1)
Fe1 0.500 0.500 0.500 (multiplicity 1)

* DFT formation energy: 45 meV/atom

***

Record 2
The following is a PBE calculation of a relaxed Ta2ZnFe crystal, from Alexandria.

a = 6.285 Å, b = 6.285 Å, c = 6.285 Å
α = 90.00°, β = 90.00°, γ = 90.00°
Space group F-43m (No. 216)
Inequivalent atoms, fractional coordinates:
Ta1 0.000 0.000 0.000 (multiplicity 4)
Ta2 0.250 0.250 0.250 (multiplicity 4)
Zn1 0.000 0.000 0.500 (multiplicity 4)
Fe1 0.250 0.250 0.750 (multiplicity 4)

* DFT formation energy: 292 meV/atom

***

Record 3
The following is a PBE calculation of a relaxed Ta2ZnFe crystal, from Alexandria.

a = 3.768 Å, b = 3.768 Å, c = 8.648 Å
α = 90.00°, β = 90.00°, γ = 90.00°
Space group I-4m2 (No. 119)
Inequivalent atoms, fractional coordinates:
Ta1 0.000 0.000 0.000 (multiplicity 2)
Ta2 0.000 0.500 0.250 (multiplicity 2)
Zn1 0.000 0.500 0.750 (multiplicity 2)
Fe1 0.000 0.000 0.500 (multiplicity 2)

* DFT formation energy: 132 meV/atom

***

Record 4
The following is a PBE calculation of a relaxed TaZn2Fe crystal, from Alexandria.

a = 2.7567 Å, b = 2.7567 Å, c = 27.3827 Å
α = 90.00°, β = 90.00°, γ = 120.00°
Space group R-3m (No. 166, hexagonal axes)
Inequivalent atoms, fractional coordinates:
Ta1 0.0000 0.0000 0.0000 (multiplicity 3)
Zn1 0.0000 0.0000 0.2433 (multiplicity 6)
Fe1 0.0000 0.0000 0.5000 (multiplicity 3)

* E above lowest polymorph: 0.60 eV per formula unit
* DFT formation energy: 167 meV/atom

***

Record 5
The following is a PBE calculation of a relaxed TaZn2Fe crystal, from Alexandria.

a = 2.960 Å, b = 2.960 Å, c = 6.609 Å
α = 90.00°, β = 90.00°, γ = 90.00°
Space group P4mm (No. 99)
Inequivalent atoms, fractional coordinates:
Ta1 0.000 0.000 0.000 (multiplicity 1)
Zn1 0.000 0.000 0.555 (multiplicity 1)
Zn2 0.500 0.500 0.305 (multiplicity 1)
Fe1 0.500 0.500 0.783 (multiplicity 1)

* E above lowest polymorph: 0.00 eV per formula unit
* DFT formation energy: 17 meV/atom

***

Record 6
The following is a PBE calculation of a relaxed TaZn2Fe crystal, from Alexandria.

a = 3.267 Å, b = 3.986 Å, c = 4.366 Å
α = 90.00°, β = 90.00°, γ = 90.00°
Space group Pmmm (No. 47)
Inequivalent atoms, fractional coordinates:
Ta1 0.000 0.000 0.000 (multiplicity 1)
Zn1 0.000 0.500 0.500 (multiplicity 1)
Zn2 0.500 0.000 0.500 (multiplicity 1)
Fe1 0.500 0.500 0.000 (multiplicity 1)

* E above lowest polymorph: 0.21 eV per formula unit
* DFT formation energy: 68 meV/atom

***

Record 7
The following is a PBE calculation of a relaxed Ta2ZnFe crystal, from Alexandria.

a = 2.890 Å, b = 2.890 Å, c = 7.298 Å
α = 90.00°, β = 90.00°, γ = 90.00°
Space group P4/mmm (No. 123)
Inequivalent atoms, fractional coordinates:
Ta1 0.000 0.000 0.227 (multiplicity 2)
Zn1 0.500 0.500 0.500 (multiplicity 1)
Fe1 0.500 0.500 0.000 (multiplicity 1)

* DFT formation energy: 8 meV/atom

***

Record 8
The following is a PBE calculation of a relaxed TaZnFe2 crystal, from Alexandria.

a = 6.722 Å, b = 6.722 Å, c = 5.243 Å
α = 90.00°, β = 90.00°, γ = 90.00°
Space group I-42d (No. 122)
Inequivalent atoms, fractional coordinates:
Ta1 0.000 0.000 0.000 (multiplicity 4)
Zn1 0.000 0.000 0.500 (multiplicity 4)
Fe1 0.247 0.250 0.625 (multiplicity 8)

* DFT formation energy: 553 meV/atom

***

Record 9
The following is a PBE calculation of a relaxed Ta2ZnFe2 crystal, from Alexandria.

a = 7.279 Å, b = 7.279 Å, c = 2.873 Å
α = 90.00°, β = 90.00°, γ = 90.00°
Space group P4/mbm (No. 127)
Inequivalent atoms, fractional coordinates:
Ta1 0.150 0.350 0.000 (multiplicity 4)
Zn1 0.000 0.000 0.000 (multiplicity 2)
Fe1 0.143 0.643 0.500 (multiplicity 4)

* E above lowest polymorph: 1.11 eV per formula unit
* DFT formation energy: 227 meV/atom

***

Record 10
The following is a PBE calculation of a relaxed TaZnFe6 crystal, from Alexandria.

a = 6.184 Å, b = 11.406 Å, c = 11.359 Å
α = 90.00°, β = 90.00°, γ = 90.00°
Space group Cmmm (No. 65)
Inequivalent atoms, fractional coordinates:
Ta1 0.000 0.000 0.250 (multiplicity 4)
Ta2 0.000 0.248 0.000 (multiplicity 4)
Zn1 0.000 0.251 0.500 (multiplicity 4)
Zn2 0.000 0.500 0.254 (multiplicity 4)
Fe1 0.000 0.000 0.000 (multiplicity 2)
Fe2 0.000 0.000 0.500 (multiplicity 2)
Fe3 0.000 0.253 0.255 (multiplicity 8)
Fe4 0.000 0.500 0.000 (multiplicity 2)
Fe5 0.000 0.500 0.500 (multiplicity 2)
Fe6 0.247 0.375 0.127 (multiplicity 16)
Fe7 0.249 0.126 0.378 (multiplicity 16)

* DFT formation energy: -6 meV/atom

***

Record 11
The following is a PBE calculation of a relaxed TaZnFe2 crystal, from Alexandria.

a = 2.667 Å, b = 2.667 Å, c = 7.805 Å
α = 90.00°, β = 90.00°, γ = 90.00°
Space group P4/mmm (No. 123)
Inequivalent atoms, fractional coordinates:
Ta1 0.000 0.000 0.000 (multiplicity 1)
Zn1 0.000 0.000 0.500 (multiplicity 1)
Fe1 0.500 0.500 0.268 (multiplicity 2)

* DFT formation energy: 94 meV/atom

***

Record 12
The following is a PBE calculation of a relaxed TaZn2Fe crystal, from Alexandria.

a = 6.061 Å, b = 6.061 Å, c = 6.061 Å
α = 90.00°, β = 90.00°, γ = 90.00°
Space group Fm-3m (No. 225)
Inequivalent atoms, fractional coordinates:
Ta1 0.000 0.000 0.000 (multiplicity 4)
Zn1 0.250 0.250 0.250 (multiplicity 8)
Fe1 0.000 0.000 0.500 (multiplicity 4)

* E above lowest polymorph: 0.98 eV per formula unit
* DFT formation energy: 262 meV/atom

***

Record 13
The following is a PBE calculation of a relaxed TaZn2Fe crystal, from Alexandria.

a = 6.106 Å, b = 6.106 Å, c = 6.106 Å
α = 90.00°, β = 90.00°, γ = 90.00°
Space group F-43m (No. 216)
Inequivalent atoms, fractional coordinates:
Ta1 0.000 0.000 0.000 (multiplicity 4)
Zn1 0.000 0.000 0.500 (multiplicity 4)
Zn2 0.250 0.250 0.250 (multiplicity 4)
Fe1 0.250 0.250 0.750 (multiplicity 4)

* E above lowest polymorph: 0.22 eV per formula unit
* DFT formation energy: 73 meV/atom

***

Record 14
The following is a PBE calculation of a relaxed TaZnFe2 crystal, from Alexandria.

a = 3.375 Å, b = 4.161 Å, c = 7.898 Å
α = 90.00°, β = 90.00°, γ = 90.00°
Space group Cmmm (No. 65)
Inequivalent atoms, fractional coordinates:
Ta1 0.000 0.000 0.000 (multiplicity 2)
Zn1 0.000 0.000 0.500 (multiplicity 2)
Fe1 0.000 0.500 0.262 (multiplicity 4)

* DFT formation energy: 64 meV/atom

***

Record 15
The following is a PBE calculation of a relaxed TaZnFe3 crystal, from Alexandria.

a = 4.524 Å, b = 4.524 Å, c = 4.524 Å
α = 90.00°, β = 90.00°, γ = 90.00°
Space group Pm-3m (No. 221)
Inequivalent atoms, fractional coordinates:
Ta1 0.000 0.000 0.000 (multiplicity 1)
Zn1 0.500 0.500 0.500 (multiplicity 1)
Fe1 0.000 0.000 0.500 (multiplicity 3)

* E above lowest polymorph: 0.64 eV per formula unit
* DFT formation energy: 1460 meV/atom

***

Record 16
The following is a PBE calculation of a relaxed TaZnFe crystal, from Alexandria.

a = 5.940 Å, b = 5.940 Å, c = 5.940 Å
α = 90.00°, β = 90.00°, γ = 90.00°
Space group F-43m (No. 216)
Inequivalent atoms, fractional coordinates:
Ta1 0.000 0.000 0.000 (multiplicity 4)
Zn1 0.250 0.250 0.750 (multiplicity 4)
Fe1 0.250 0.250 0.250 (multiplicity 4)

* E above lowest polymorph: 2.85 eV per formula unit
* DFT formation energy: 830 meV/atom

***

Record 17
The following is a PBE calculation of a relaxed Zr2TaFe crystal, from Alexandria.

a = 5.790 Å, b = 9.080 Å, c = 3.002 Å
α = 90.00°, β = 110.57°, γ = 90.00°
Space group C2/m (No. 12)
Inequivalent atoms, fractional coordinates:
Zr1 0.250 0.250 0.000 (multiplicity 4)
Ta1 0.000 0.000 0.500 (multiplicity 2)
Fe1 0.000 0.500 0.500 (multiplicity 2)

* E above lowest polymorph: 1.10 eV per formula unit
* DFT formation energy: 233 meV/atom

***

Record 18
The following is a PBE calculation of a relaxed ZrTa4Fe crystal, from Alexandria.

a = 7.740 Å, b = 7.740 Å, c = 7.740 Å
α = 90.00°, β = 90.00°, γ = 90.00°
Space group F-43m (No. 216)
Inequivalent atoms, fractional coordinates:
Zr1 0.000 0.000 0.000 (multiplicity 4)
Ta1 0.126 0.126 0.626 (multiplicity 16)
Fe1 0.250 0.250 0.250 (multiplicity 4)

* DFT formation energy: 367 meV/atom

***

Record 19
The following is a PBE calculation of a relaxed Zr2TaFe crystal, from Alexandria.

a = 4.018 Å, b = 4.018 Å, c = 9.360 Å
α = 90.00°, β = 90.00°, γ = 90.00°
Space group I-4m2 (No. 119)
Inequivalent atoms, fractional coordinates:
Zr1 0.000 0.000 0.000 (multiplicity 2)
Zr2 0.000 0.500 0.250 (multiplicity 2)
Ta1 0.000 0.000 0.500 (multiplicity 2)
Fe1 0.000 0.500 0.750 (multiplicity 2)

* E above lowest polymorph: 1.08 eV per formula unit
* DFT formation energy: 228 meV/atom

***

Record 20
The following is a PBE calculation of a relaxed Zr2TaFe crystal, from Alexandria.

a = 6.596 Å, b = 6.596 Å, c = 6.596 Å
α = 90.00°, β = 90.00°, γ = 90.00°
Space group F-43m (No. 216)
Inequivalent atoms, fractional coordinates:
Zr1 0.000 0.000 0.000 (multiplicity 4)
Zr2 0.250 0.250 0.250 (multiplicity 4)
Ta1 0.250 0.250 0.750 (multiplicity 4)
Fe1 0.000 0.000 0.500 (multiplicity 4)

* E above lowest polymorph: 0.93 eV per formula unit
* DFT formation energy: 189 meV/atom

***

Calculated density list, top to bottom, in g cm⁻³: 13.1 12.9 13.1 10.2 10.5 10.7 13.2 10.0 11.8 9.6 10.7 11.0 10.7 10.7 7.4 9.6 9.4 12.5 9.2 9.7